6
Lattice="0.434 1.042 5.106 4.671 2.238 0.720 -4.707 0.491 -2.225" Properties=species:S:1:pos:R:3 comment="GGA-PBE ZnBiB4, relaxed" de_polymorph_mev_per_atom=93 mass_density_g_cm3=7.48 energy_ev_per_atom=-4.7149 space_group=Immm pbc="T T T"
Bi 0.000 0.000 0.000
B -1.606 1.818 3.334
B 0.585 2.463 1.224
B 2.004 1.953 0.267
Zn 2.553 1.640 2.913
B -0.187 1.309 2.377